1.
LaDyErHg | PBE | relaxed

Summary:
**ρ**: 9.44 g/cm³
**DOS at the Fermi energy**: 5.4 states/eV/f.u.
**Offset from the most stable computed form**: 0.151 eV per atom
**ΔH_f (0 K)**: -74 meV per atom
**Size of the total moment**: 0.3 μB/cell
**Uncorrected energy**: -3.6727 eV/atom

Cell lengths 7.7790, 7.7790, 7.7790 Å; angles 90.00, 90.00, 90.00 degrees
Space group F-43m (No. 216)
One atom of each set of equivalent atoms:
La  0.0000  0.0000  0.0000 x4
Dy  0.0000  0.0000  0.5000 x4
Er  0.2500  0.2500  0.2500 x4
Hg  0.2500  0.2500  0.7500 x4

=====

2.
Ti6ZnPd5 | PBE | relaxed

Summary:
**ρ**: 7.88 g/cm³
**DOS at the Fermi energy**: 14.4 states/eV/f.u.
**Offset from the most stable computed form**: 0.000 eV per atom
**ΔH_f (0 K)**: -467 meV per atom
**Size of the total moment**: 0.0 μB/cell
**Uncorrected energy**: -6.6840 eV/atom

Cell lengths 4.8297, 5.6316, 6.8552 Å; angles 90.00, 90.38, 90.00 degrees
Space group P2/m (No. 10)
One atom of each set of equivalent atoms:
Ti  0.0000  0.2499  0.0000 x2
Ti  0.3283  0.2494  0.6654 x4
Zn  0.5000  0.0000  0.0000 x1
Pd  0.1696  0.5000  0.3327 x2
Pd  0.1740  0.0000  0.3282 x2
Pd  0.5000  0.5000  0.0000 x1

=====

3.
ZrFeTe2 | PBE | relaxed

Summary:
**ρ**: 5.51 g/cm³
**DOS at the Fermi energy**: 9.0 states/eV/f.u.
**Formation energy without anion corrections**: 0.01 eV per atom
**Size of the total moment**: 8.3 μB/cell
**Uncorrected energy**: -5.8105 eV/atom

Cell lengths 6.3064, 6.3064, 12.1925 Å; angles 90.00, 90.00, 90.00 degrees
Space group I-42d (No. 122)
One atom of each set of equivalent atoms:
Zr  0.0000  0.0000  0.0000 x4
Fe  0.0000  0.0000  0.5000 x4
Te  0.2149  0.2500  0.6250 x8

=====

4.
Ce2Be4Si3Ir | PBE | relaxed

Summary:
**ρ**: 6.63 g/cm³
**DOS at the Fermi energy**: 8.5 states/eV/f.u.
**Formation energy without anion corrections**: -0.50 eV per atom
**Size of the total moment**: 0.5 μB/cell
**Uncorrected energy**: -5.6941 eV/atom

Cell lengths 3.9178, 3.9178, 9.6772 Å; angles 90.00, 90.00, 90.00 degrees
Space group P-4m2 (No. 115)
One atom of each set of equivalent atoms:
Ce  0.0000  0.5000  0.2464 x2
Be  0.0000  0.0000  0.0000 x1
Be  0.0000  0.5000  0.6298 x2
Be  0.5000  0.5000  0.0000 x1
Si  0.0000  0.5000  0.8707 x2
Si  0.5000  0.5000  0.5000 x1
Ir  0.0000  0.0000  0.5000 x1

=====

5.
EuYCuPb | PBE | relaxed

Summary:
**ρ**: 7.95 g/cm³
**DOS at the Fermi energy**: 8.7 states/eV/f.u.
**ΔH_f (0 K)**: -316 meV per atom
**Size of the total moment**: 28.9 μB/cell
**Uncorrected energy**: -6.4517 eV/atom

Cell lengths 7.5327, 7.5327, 7.5327 Å; angles 90.00, 90.00, 90.00 degrees
Space group F-43m (No. 216)
One atom of each set of equivalent atoms:
Eu  0.0000  0.0000  0.0000 x4
Y  0.0000  0.0000  0.5000 x4
Cu  0.2500  0.2500  0.2500 x4
Pb  0.2500  0.2500  0.7500 x4

=====

6.
Cr | PBE | relaxed

Summary:
**ρ**: 6.81 g/cm³
**DOS at the Fermi energy**: 1.4 states/eV/f.u.
**Offset from the most stable computed form**: 0.933 eV per atom
**ΔH_f (0 K)**: 933 meV per atom
**Size of the total moment**: 0.0 μB/cell
**Uncorrected energy**: -8.6905 eV/atom

Cell lengths 4.6704, 4.6704, 2.3260 Å; angles 90.00, 90.00, 90.00 degrees
Space group P4/mbm (No. 127)
One atom of each set of equivalent atoms:
Cr  0.2054  0.2946  0.0000 x4